No. 1
Sr2Ga3Au17 after structural relaxation. Source: Alexandria, functional GGA-PBE.

## Properties
Its energy relative to the elements is -82 meV per atom. The space group is R-3m.

a = 7.784 Å, b = 7.784 Å, c = 7.784 Å
α = 85.34°, β = 85.34°, γ = 85.34°
Fractional positions:
Sr 0.332 0.332 0.332
Sr 0.668 0.668 0.668
Ga 0.000 0.500 0.500
Ga 0.500 0.500 0.000
Ga 0.500 0.000 0.500
Au 0.500 0.000 0.000
Au 0.000 0.000 0.500
Au 0.000 0.500 0.000
Au 0.000 0.736 0.264
Au 0.736 0.264 0.000
Au 0.264 0.000 0.736
Au 0.264 0.736 0.000
Au 0.736 0.000 0.264
Au 0.000 0.264 0.736
Au 0.191 0.664 0.664
Au 0.664 0.664 0.191
Au 0.664 0.191 0.664
Au 0.809 0.336 0.336
Au 0.336 0.336 0.809
Au 0.336 0.809 0.336
Au 0.102 0.102 0.102
Au 0.898 0.898 0.898


No. 2
CoPAuS2 after structural relaxation. Source: Alexandria, functional GGA-PBE.

## Properties
The space group is P4/mmm.

a = 4.962 Å, b = 4.962 Å, c = 4.584 Å
α = 90.00°, β = 90.00°, γ = 90.00°
Last column: magnetic moment on the atom in μB.
Fractional positions:
Co 0.500 0.500 0.500  2.26
S 0.000 0.500 0.000  0.11
S 0.500 0.000 0.000  0.11
Au 0.000 0.000 0.000  -0.01
P 0.000 0.000 0.500  -0.09


No. 3
TiGeH2Pb after structural relaxation. Source: Alexandria, functional GGA-PBE.

## Properties
The space group is P4/mmm.

a = 3.938 Å, b = 5.692 Å, c = 3.938 Å
α = 90.00°, β = 90.00°, γ = 90.00°
Last column: magnetic moment on the atom in μB.
Fractional positions:
Pb 0.000 0.500 0.000  0.01
H 0.000 0.000 0.500  -0.01
H 0.500 0.000 0.000  0.00
Ge 0.500 0.500 0.500  -0.01
Ti 0.000 0.000 0.000  0.52


No. 4
FeCu3Bi after structural relaxation. Source: Alexandria, functional GGA-PBE.

## Properties
Its energy relative to the elements is 787 meV per atom. The space group is Pm-3m.

a = 4.527 Å, b = 4.527 Å, c = 4.527 Å
α = 90.00°, β = 90.00°, γ = 90.00°
Last column: magnetic moment on the atom in μB.
Fractional positions:
Bi 0.500 0.500 0.500  -0.01
Cu 0.000 0.500 0.000  0.07
Cu 0.000 0.000 0.500  0.18
Cu 0.500 0.000 0.000  0.02
Fe 0.000 0.000 0.000  2.52


No. 5
PaSi2TcPd after structural relaxation. Source: Alexandria, functional GGA-PBE.

## Properties
The space group is I-4m2.

a = 4.118 Å, b = 4.118 Å, c = 5.798 Å
α = 110.80°, β = 110.80°, γ = 90.00°
Fractional positions:
Pa 0.000 0.000 0.000
Si 0.619 0.619 0.238
Si 0.381 0.381 0.762
Tc 0.750 0.250 0.500
Pd 0.250 0.750 0.500


No. 6
ErAl2Ni after structural relaxation. Source: Alexandria, functional GGA-PBE.

## Properties
Its energy relative to the elements is -626 meV per atom. The space group is Pnma.

a = 5.420 Å, b = 6.849 Å, c = 15.084 Å
α = 90.00°, β = 90.00°, γ = 90.00°
Fractional positions:
Er 0.470 0.250 0.139
Er 0.970 0.750 0.361
Er 0.530 0.750 0.861
Er 0.030 0.250 0.639
Er 0.762 0.250 0.394
Er 0.262 0.750 0.106
Er 0.238 0.750 0.606
Er 0.738 0.250 0.894
Al 0.968 0.055 0.212
Al 0.468 0.945 0.288
Al 0.032 0.555 0.788
Al 0.532 0.445 0.712
Al 0.032 0.945 0.788
Al 0.532 0.055 0.712
Al 0.968 0.445 0.212
Al 0.468 0.555 0.288
Al 0.773 0.556 0.040
Al 0.273 0.444 0.460
Al 0.227 0.056 0.960
Al 0.727 0.944 0.540
Al 0.227 0.444 0.960
Al 0.727 0.556 0.540
Al 0.773 0.944 0.040
Al 0.273 0.056 0.460
Ni 0.235 0.250 0.319
Ni 0.735 0.750 0.181
Ni 0.765 0.750 0.681
Ni 0.265 0.250 0.819
Ni 0.988 0.250 0.072
Ni 0.488 0.750 0.428
Ni 0.012 0.750 0.928
Ni 0.512 0.250 0.572


No. 7
SrReRu2 after structural relaxation. Source: Alexandria, functional GGA-PBE.

## Properties
Its energy relative to the elements is 723 meV per atom. The space group is R-3m.

a = 9.790 Å, b = 9.790 Å, c = 9.790 Å
α = 16.88°, β = 16.88°, γ = 16.88°
Fractional positions:
Re 0.750 0.750 0.750
Ru 0.011 0.011 0.011
Ru 0.489 0.489 0.489
Sr 0.250 0.250 0.250


No. 8
SmHo2Pt after structural relaxation. Source: Alexandria, functional GGA-PBE.

## Properties
Its energy relative to the elements is -673 meV per atom. The space group is P2_1/m.

a = 3.802 Å, b = 6.476 Å, c = 9.257 Å
α = 90.00°, β = 90.00°, γ = 107.15°
Fractional positions:
Sm 0.935 0.871 0.250
Sm 0.065 0.129 0.750
Ho 0.361 0.724 0.562
Ho 0.639 0.276 0.438
Ho 0.361 0.724 0.938
Ho 0.639 0.276 0.062
Pt 0.761 0.523 0.750
Pt 0.239 0.477 0.250


No. 9
Dy2Y2HoEr after structural relaxation. Source: Alexandria, functional GGA-PBE.

## Properties
Its energy relative to the elements is 269 meV per atom. The space group is Pnnm.

a = 3.373 Å, b = 6.512 Å, c = 17.676 Å
α = 90.00°, β = 90.00°, γ = 90.00°
Fractional positions:
Dy 0.500 0.772 0.354
Dy 0.500 0.228 0.646
Dy 0.000 0.728 0.854
Dy 0.000 0.272 0.146
Y 0.500 0.270 0.316
Y 0.000 0.770 0.184
Y 0.500 0.730 0.684
Y 0.000 0.230 0.816
Ho 0.500 0.500 0.000
Ho 0.000 0.000 0.500
Er 0.000 0.000 0.000
Er 0.500 0.500 0.500


No. 10
La2TbPm2Ag5 after structural relaxation. Source: Alexandria, functional GGA-PBE.

## Properties
Its energy relative to the elements is -130 meV per atom. The space group is P4/mbm.

a = 4.287 Å, b = 11.145 Å, c = 11.145 Å
α = 90.00°, β = 90.00°, γ = 90.00°
Fractional positions:
La 0.000 0.673 0.173
La 0.000 0.327 0.827
La 0.000 0.173 0.327
La 0.000 0.827 0.673
Tb 0.000 0.000 0.000
Tb 0.000 0.500 0.500
Pm 0.000 0.130 0.630
Pm 0.000 0.870 0.370
Pm 0.000 0.630 0.870
Pm 0.000 0.370 0.130
Ag 0.500 0.185 0.060
Ag 0.500 0.815 0.940
Ag 0.500 0.060 0.815
Ag 0.500 0.685 0.440
Ag 0.500 0.940 0.185
Ag 0.500 0.315 0.560
Ag 0.500 0.560 0.685
Ag 0.500 0.440 0.315
Ag 0.500 0.500 0.000
Ag 0.500 0.000 0.500


No. 11
Si2AsS after structural relaxation. Source: Alexandria, functional GGA-PBE.

## Properties
The space group is Fm-3m.

a = 4.510 Å, b = 4.510 Å, c = 4.510 Å
α = 60.00°, β = 60.00°, γ = 60.00°
Fractional positions:
As 0.500 0.500 0.500
Si 0.250 0.250 0.250
Si 0.750 0.750 0.750
S 0.000 0.000 0.000


No. 12
PmHo3Co after structural relaxation. Source: Alexandria, functional GGA-PBE.

## Properties
Its energy relative to the elements is -28 meV per atom. The space group is P2_1/c.

a = 7.340 Å, b = 7.805 Å, c = 9.907 Å
α = 107.29°, β = 90.00°, γ = 90.00°
Fractional positions:
Pm 0.943 0.681 0.253
Pm 0.057 0.319 0.747
Pm 0.443 0.319 0.247
Pm 0.557 0.681 0.753
Ho 0.128 0.077 0.389
Ho 0.872 0.923 0.611
Ho 0.628 0.923 0.111
Ho 0.372 0.077 0.889
Ho 0.495 0.792 0.387
Ho 0.505 0.208 0.613
Ho 0.995 0.208 0.113
Ho 0.005 0.792 0.887
Ho 0.200 0.590 0.536
Ho 0.800 0.410 0.464
Ho 0.700 0.410 0.964
Ho 0.300 0.590 0.036
Co 0.254 0.950 0.604
Co 0.746 0.050 0.396
Co 0.754 0.050 0.896
Co 0.246 0.950 0.104


Ordered calculated density results: 13.3; 5.2; 6.2; 8.2; 9.6; 6.6; 11.5; 10.3; 7.1; 7.9; 4.2; 8.6; unit g cm⁻³.
Ordered spin magnetization results: 0.000; 2.418; 0.633; 2.706; 0.000; 0.000; 0.000; 0.000; 0.001; 0.000; 0.000; 0.000; unit μB per formula unit.
Ordered E_tot results: -3.180; -3.485; -4.167; -4.140; -7.875; -5.084; -7.448; -5.652; -4.944; -3.954; -4.406; -5.146; unit eV per atom.